Entry 1:
Below is crystalline TbZn5Ni2 at its relaxed geometry, with properties calculated at the PBE-GGA level.

Results
- energy relative to the elements (eV/atom) = -0.273
- total energy (eV for the cell shown) = -24.75
- spin magnetization (μB/cell) = 0.000
- D(E_F) (states/eV/atom) = 0.594

The structure in POSCAR format:
```
TbZn5Ni2
1.0
3.5769 0.0000 1.1840
1.2974 5.6987 2.0755
-0.0671 -0.2243 6.1977
Tb Zn Ni
1 5 2
Cartesian
0.0000 0.0000 0.0000
0.6151 2.7372 4.1366
3.0200 2.9981 2.8664
1.7872 2.4763 6.5908
2.2963 4.6864 5.0527
2.5109 0.7880 4.4045
3.5766 4.1730 7.1799
1.2306 1.3014 2.2773
```

Entry 2:
Below is crystalline KFeSe2 at its relaxed geometry, with properties calculated at the PBE-GGA level.

Results
- formation energy (no corrections) (eV per atom) = -0.436
- total energy (eV for the cell shown) = -18.27
- spin magnetization (μB/cell) = 2.926
- D(E_F) (states/eV/atom) = 0.604

The structure in POSCAR format:
```
KFeSe2
1.0
5.9284 -0.0738 0.0004
1.1805 5.8101 -0.0004
-2.2160 -4.5269 3.1222
Fe K Se
1 1 2
Cartesian
3.6334 -0.8662 1.5613
1.2595 2.0757 1.5609
6.5789 5.3088 0.0000
4.0843 3.2958 0.0000
```

Entry 3:
Below is crystalline NdYTlAu at its relaxed geometry, with properties calculated at the PBE-GGA level.

Results
- relative energy among the computed polymorphs (meV/atom) = 0.0
- energy relative to the elements (eV/atom) = -0.605
- total energy (eV for the cell shown) = -19.30
- spin magnetization (μB/cell) = 0.001
- D(E_F) (states/eV/atom) = 0.608

The structure in POSCAR format:
```
NdYTlAu
1.0
3.6778 0.0000 0.0000
0.0000 3.6778 0.0000
0.0000 0.0000 7.8691
Nd Y Tl Au
1 1 1 1
Cartesian
1.8389 1.8389 0.9575
1.8389 1.8389 4.5865
0.0000 0.0000 6.6544
0.0000 0.0000 2.9728
```

Entry 4:
Below is crystalline U2Al2Zn15 at its relaxed geometry, with properties calculated at the PBE-GGA level.

Results
- energy relative to the elements (eV/atom) = -0.055
- total energy (eV for the cell shown) = -50.21
- spin magnetization (μB/cell) = 5.504
- D(E_F) (states/eV/atom) = 1.011

The structure in POSCAR format:
```
U2Al2Zn15
1.0
6.7509 -0.0375 0.8409
0.7380 6.7105 0.8409
-0.0420 -0.0375 6.8029
U Al Zn
2 2 15
Cartesian
2.5030 2.2303 2.8518
4.9439 4.4053 5.6329
0.7565 0.6741 0.8619
6.6904 5.9615 7.6228
3.3754 -0.0187 0.4204
-0.0210 -0.0187 3.4015
0.3690 3.3553 0.4204
0.5032 4.6790 2.6358
4.9406 1.9941 0.8409
2.0030 -0.0375 5.0080
2.5483 4.6790 0.8409
4.7058 -0.0375 2.6358
0.1928 1.9941 5.0080
1.5509 4.3092 5.0802
4.8361 4.3092 2.1968
4.4588 1.0457 5.0802
5.8960 2.3264 3.4045
2.6108 2.3264 6.2879
2.9880 5.5899 3.4045
```